Compound: Pm3Tm3In2
Source: Alexandria
Functional: GGA-PBE
Structure: relaxed

Summary:
SG = Pmmm (47)
Energy relative to the lowest polymorph listed for this composition = 0.000 eV per atom
Formation enthalpy at 0 K = -2.1 eV/f.u.
Total magnetic moment = 0.00 μB per atom
Final energy = -35.24 eV per formula unit

a b c (Å): 4.850 4.859 9.813
angles (deg): 90.00 90.00 90.00
Element x y z (fractional)
1 Pm 0.500 0.000 0.500
2 Tm 0.500 0.000 0.000
3 Pm 0.000 0.500 0.000
4 In 0.000 0.000 0.246
5 Pm 0.000 0.500 0.500
6 In 0.000 0.000 0.754
7 Tm 0.500 0.500 0.247
8 Tm 0.500 0.500 0.753